# KSrPrWO6 (PBE+U, relaxed)
data_KSrPrWO6
_cell_length_a 8.596
_cell_length_b 8.596
_cell_length_c 8.596
_cell_angle_alpha 90.00
_cell_angle_beta 90.00
_cell_angle_gamma 90.00
_space_group_name_H-M_alt 'F -4 3 m'
_space_group_IT_number 216
_space_group_name_Hall 'F -4 2 3'
loop_
_atom_site_label
_atom_site_type_symbol
_atom_site_fract_x
_atom_site_fract_y
_atom_site_fract_z
_atom_site_occupancy
K1 K 0.000 0.000 0.000 1
Sr1 Sr 0.000 0.000 0.500 1
Pr1 Pr 0.250 0.250 0.750 1
W1 W 0.250 0.250 0.250 1
O1 O 0.023 0.250 0.250 1
# Raw total energy = -280.1 eV per cell
# Fermi-level density of states = 0.000 states/eV per atom